Density functional theory data (PBE) for crystalline ZnPPdS2 at its relaxed geometry.

Cell lengths 4.9080, 4.9080, 4.4194 Å; angles 90.00, 90.00, 90.00 degrees
Sites, in units of the cell vectors:
Zn1 0.5000 0.5000 0.5000
Pd1 0.0000 0.0000 0.0000
S1 0.0000 0.5000 0.0000
S2 0.5000 0.0000 0.0000
P1 0.0000 0.0000 0.5000

Properties
The calculated volume comes out at 106.46 Å³/f.u. As for the formation energy without anion corrections: 3.22 eV per formula unit. The crystal system is tetragonal. As for the energy relative to the lowest polymorph listed for this composition: 0 kJ/mol of formula units.

---

Density functional theory data (PBE) for crystalline ZnP2PdS at its relaxed geometry.

Cell lengths 4.5998, 4.5998, 5.0012 Å; angles 90.00, 90.00, 90.00 degrees
Sites, in units of the cell vectors:
P1 0.5000 0.0000 0.0000
P2 0.0000 0.5000 0.0000
Zn1 0.5000 0.5000 0.5000
Pd1 0.0000 0.0000 0.0000
S1 0.0000 0.0000 0.5000

Properties
The calculated volume comes out at 105.82 Å³/f.u. As for the formation energy without anion corrections: 3.78 eV per formula unit. The crystal system is tetragonal. As for the energy relative to the lowest polymorph listed for this composition: 0 kJ/mol of formula units.

---

Density functional theory data (PBE) for crystalline ZrP2PdS at its relaxed geometry.

Cell lengths 4.5972, 4.5972, 4.6631 Å; angles 90.00, 90.00, 90.00 degrees
Sites, in units of the cell vectors:
Zr1 0.5000 0.5000 0.5000
Pd1 0.0000 0.0000 0.0000
P1 0.5000 0.0000 0.0000
P2 0.0000 0.5000 0.0000
S1 0.0000 0.0000 0.5000

Properties
The calculated volume comes out at 98.55 Å³/f.u. As for the formation energy without anion corrections: 1.38 eV per formula unit. The crystal system is tetragonal. As for the energy relative to the lowest polymorph listed for this composition: 0 kJ/mol of formula units.

---

Density functional theory data (PBE) for crystalline ZrPPdS2 at its relaxed geometry.

Cell lengths 4.9023, 4.9023, 5.1128 Å; angles 90.00, 90.00, 90.00 degrees
Sites, in units of the cell vectors:
S1 0.5000 0.0000 0.0000
S2 0.0000 0.5000 0.0000
Pd1 0.5000 0.5000 0.5000
P1 0.0000 0.0000 0.5000
Zr1 0.0000 0.0000 0.0000

Properties
The calculated volume comes out at 122.87 Å³/f.u. As for the formation energy without anion corrections: 0.83 eV per formula unit. The crystal system is tetragonal. As for the energy relative to the lowest polymorph listed for this composition: 12 kJ/mol of formula units.

---

Density functional theory data (PBE) for crystalline ZrPPdS2 at its relaxed geometry.

Cell lengths 4.5980, 4.5980, 4.6624 Å; angles 90.00, 90.00, 90.00 degrees
Sites, in units of the cell vectors:
P1 0.0000 0.0000 0.5000
S1 0.5000 0.0000 0.0000
S2 0.0000 0.5000 0.0000
Zr1 0.5000 0.5000 0.5000
Pd1 0.0000 0.0000 0.0000

Properties
The calculated volume comes out at 98.57 Å³/f.u. As for the formation energy without anion corrections: 0.71 eV per formula unit. The crystal system is tetragonal. As for the energy relative to the lowest polymorph listed for this composition: 0 kJ/mol of formula units.

---

Density functional theory data (PBE) for crystalline ZrP2PdS at its relaxed geometry.

Cell lengths 5.0267, 5.0267, 4.8639 Å; angles 90.00, 90.00, 90.00 degrees
Sites, in units of the cell vectors:
S1 0.0000 0.0000 0.5000
P1 0.0000 0.5000 0.0000
P2 0.5000 0.0000 0.0000
Zr1 0.0000 0.0000 0.0000
Pd1 0.5000 0.5000 0.5000

Properties
The calculated volume comes out at 122.90 Å³/f.u. As for the formation energy without anion corrections: 2.14 eV per formula unit. The crystal system is tetragonal. As for the energy relative to the lowest polymorph listed for this composition: 74 kJ/mol of formula units.

---

Question: formation energy without anion corrections of number 1 (ZnPPdS2)?
Answer: 3.22 eV per formula unit

---

Copy entry 2 word for word.
Density functional theory data (PBE) for crystalline ZnP2PdS at its relaxed geometry.

Cell lengths 4.5998, 4.5998, 5.0012 Å; angles 90.00, 90.00, 90.00 degrees
Sites, in units of the cell vectors:
P1 0.5000 0.0000 0.0000
P2 0.0000 0.5000 0.0000
Zn1 0.5000 0.5000 0.5000
Pd1 0.0000 0.0000 0.0000
S1 0.0000 0.0000 0.5000

Properties
The calculated volume comes out at 105.82 Å³/f.u. As for the formation energy without anion corrections: 3.78 eV per formula unit. The crystal system is tetragonal. As for the energy relative to the lowest polymorph listed for this composition: 0 kJ/mol of formula units.

---

Question: Look up the formation energy without anion corrections of the fifth one.
Answer: 0.71 eV per formula unit